[1]
TbSmGa2Pd4: relaxed, PBE-GGA.

Output
Magnetic moment, μB/f.u.: 0.00
Raw total energy, eV per formula unit: -43.11

a b c (Å): 4.4278 4.4278 9.1897
angles (deg): 90.00 90.00 120.00
Space group P-6m2 (No. 187)
Unique sites:
Tb (0.0000, 0.0000, 0.0000) [1 per cell]
Sm (0.3333, 0.6667, 0.5000) [1 per cell]
Ga (0.6667, 0.3333, 0.2462) [2 per cell]
Pd (0.0000, 0.0000, 0.3226) [2 per cell]
Pd (0.3333, 0.6667, 0.1665) [2 per cell]



[2]
TlSiAuO3: relaxed, PBE-GGA.

Output
Raw total energy, eV per formula unit: -33.81

a b c (Å): 11.549 2.876 10.240
angles (deg): 90.00 90.00 90.00
Space group Pnma (No. 62)
Unique sites:
Tl (0.237, 0.250, 0.127) [4 per cell]
Si (0.026, 0.250, 0.382) [4 per cell]
Au (0.031, 0.250, 0.902) [4 per cell]
O (0.072, 0.750, 0.751) [4 per cell]
O (0.073, 0.250, 0.546) [4 per cell]
O (0.107, 0.750, 0.333) [4 per cell]



[3]
MgHgOsW: relaxed, PBE-GGA.

Output
Energy above the lowest structure with this stoichiometry, meV per atom: 0
Magnetic moment, μB/f.u.: 0.00

a b c (Å): 6.416 6.416 6.416
angles (deg): 90.00 90.00 90.00
Space group F-43m (No. 216)
Unique sites:
Mg (0.000, 0.000, 0.000) [4 per cell]
Hg (0.250, 0.250, 0.750) [4 per cell]
Os (0.000, 0.000, 0.500) [4 per cell]
W (0.250, 0.250, 0.250) [4 per cell]



Question: Number 1 is which compound?
Answer: TbSmGa2Pd4



Question: Number 3 is which compound?
Answer: MgHgOsW